This record from the Alexandria database describes an optimized crystal structure of Ca6PS4. The functional is PBE-GGA.

Values from the calculation:
DOS(E_F) in states/eV/cell: 3.7
Raw formation energy in kJ/mol of formula units: -1885
Total energy in eV per atom: -4.860
Space group: Cmcm (63)

abc: 4.0419 6.9113 20.2925
angles: 90.00 90.00 107.00
Atoms (fractional coordinates):
Ca  0.5000  0.0000  0.0000
Ca  0.5000  0.0000  0.5000
Ca  0.0470  0.0939  0.3321
Ca  0.9530  0.9061  0.6679
Ca  0.9530  0.9061  0.8321
Ca  0.0470  0.0939  0.1679
Ca  0.7739  0.5479  0.4147
Ca  0.2261  0.4521  0.5853
Ca  0.2261  0.4521  0.9147
Ca  0.7739  0.5479  0.0853
Ca  0.3152  0.6305  0.2500
Ca  0.6848  0.3695  0.7500
P  0.6589  0.3178  0.2500
P  0.3411  0.6822  0.7500
S  0.8622  0.7244  0.5437
S  0.4074  0.8148  0.1252
S  0.1378  0.2756  0.4563
S  0.5926  0.1852  0.8748
S  0.8622  0.7244  0.9563
S  0.1378  0.2756  0.0437
S  0.5926  0.1852  0.6252
S  0.4074  0.8148  0.3748

This record from the Alexandria database describes an optimized crystal structure of CaPS3. The functional is PBE-GGA.

Values from the calculation:
DOS(E_F) in states/eV/cell: 2.8
Raw formation energy in kJ/mol of formula units: -265
ΔE to the lowest computed polymorph in meV per atom: 511
Total energy in eV per atom: -4.508
Space group: Pm-3m (221)

abc: 4.6063 4.6063 4.6063
angles: 90.00 90.00 90.00
Atoms (fractional coordinates):
P  0.0000  0.0000  0.0000
Ca  0.5000  0.5000  0.5000
S  0.0000  0.5000  0.0000
S  0.0000  0.0000  0.5000
S  0.5000  0.0000  0.0000

This record from the Alexandria database describes an optimized crystal structure of Ca4PS2. The functional is PBE-GGA.

Values from the calculation:
DOS(E_F) in states/eV/cell: 1.4
Raw formation energy in kJ/mol of formula units: -1054
Total energy in eV per atom: -4.657
Space group: Cmcm (63)

abc: 4.0370 6.8680 13.4452
angles: 90.00 90.00 107.09
Atoms (fractional coordinates):
Ca  0.7744  0.5488  0.1268
Ca  0.7744  0.5488  0.3732
Ca  0.2256  0.4512  0.8732
Ca  0.2256  0.4512  0.6268
Ca  0.9568  0.9136  0.7500
Ca  0.0432  0.0864  0.2500
Ca  0.5000  0.0000  0.0000
Ca  0.5000  0.0000  0.5000
P  0.6140  0.2281  0.7500
P  0.3860  0.7719  0.2500
S  0.1336  0.2672  0.4412
S  0.8664  0.7328  0.9412
S  0.1336  0.2672  0.0588
S  0.8664  0.7328  0.5588

This record from the Alexandria database describes an optimized crystal structure of CaPS4. The functional is PBE-GGA.

Values from the calculation:
DOS(E_F) in states/eV/cell: 13.1
Raw formation energy in kJ/mol of formula units: -374
Total energy in eV per atom: -4.632
Space group: I4_1/amd (141)

abc: 7.5417 7.5413 7.5415
angles: 77.30 77.30 124.07
Atoms (fractional coordinates):
Ca  0.8750  0.6250  0.2500
Ca  0.1250  0.3750  0.7500
P  0.6250  0.8750  0.7500
P  0.3750  0.1250  0.2500
S  0.2776  0.7007  0.9231
S  0.6237  0.7006  0.5769
S  0.2006  0.1237  0.0769
S  0.7224  0.2993  0.0769
S  0.2006  0.7776  0.4231
S  0.7994  0.8763  0.9231
S  0.3763  0.2994  0.4231
S  0.7994  0.2224  0.5769

This record from the Alexandria database describes an optimized crystal structure of CaPS. The functional is PBE-GGA.

Values from the calculation:
DOS(E_F) in states/eV/cell: 0.0
Raw formation energy in kJ/mol of formula units: -310
Total energy in eV per atom: -4.918
Space group: P1 (1)

abc: 4.3740 5.3014 6.9946
angles: 94.67 104.83 103.74
Atoms (fractional coordinates):
Ca  0.5264  0.7688  0.1781
Ca  0.5678  0.2779  0.6287
P  0.1012  0.6012  0.4561
P  0.9700  0.8776  0.6425
S  0.6523  0.3041  0.2542
S  0.9109  0.7109  0.9104

This record from the Alexandria database describes an optimized crystal structure of CaPS. The functional is PBE-GGA.

Values from the calculation:
Raw formation energy in kJ/mol of formula units: -345
Total energy in eV per atom: -5.040
Space group: Pm (6)

abc: 3.9908 3.6579 8.7384
angles: 90.00 93.00 90.00
Atoms (fractional coordinates):
Ca  0.3515  0.0000  0.8428
Ca  0.8694  0.0000  0.2281
P  0.6989  0.5000  0.5123
P  0.3530  0.0000  0.4919
S  0.8443  0.5000  0.7545
S  0.3533  0.5000  0.1003

This record from the Alexandria database describes an optimized crystal structure of CaP3S9. The functional is PBE-GGA.

Values from the calculation:
DOS(E_F) in states/eV/cell: 1.1
Raw formation energy in kJ/mol of formula units: -410
Total energy in eV per atom: -4.587
Space group: C222_1 (20)

abc: 8.7907 8.7907 9.5435
angles: 90.00 90.00 110.04
Atoms (fractional coordinates):
Ca  0.6082  0.6082  0.0000
Ca  0.3918  0.3918  0.5000
P  0.1227  0.8223  0.0702
P  0.8773  0.1777  0.5702
P  0.8223  0.1227  0.9298
P  0.1777  0.8773  0.4298
P  0.2543  0.2543  0.0000
P  0.7457  0.7457  0.5000
S  0.2646  0.0255  0.9414
S  0.7354  0.9745  0.4414
S  0.0255  0.2646  0.0586
S  0.9745  0.7354  0.5586
S  0.3540  0.3895  0.8301
S  0.6460  0.6105  0.3301
S  0.3895  0.3540  0.1699
S  0.6105  0.6460  0.6699
S  0.3182  0.7461  0.3834
S  0.6818  0.2539  0.8834
S  0.7461  0.3182  0.6166
S  0.2539  0.6818  0.1166
S  0.3058  0.0584  0.5518
S  0.6942  0.9416  0.0518
S  0.0584  0.3058  0.4482
S  0.9416  0.6942  0.9482
S  0.0626  0.9374  0.2500
S  0.9374  0.0626  0.7500

This record from the Alexandria database describes an optimized crystal structure of CaPS. The functional is PBE-GGA.

Values from the calculation:
Raw formation energy in kJ/mol of formula units: -342
Total energy in eV per atom: -5.028
Space group: Cm (8)

abc: 4.0503 3.6079 18.0446
angles: 90.00 102.32 90.00
Atoms (fractional coordinates):
Ca  0.8607  0.0000  0.8810
Ca  0.8607  0.5000  0.3810
Ca  0.5113  0.0000  0.0715
Ca  0.5113  0.5000  0.5715
P  0.1246  0.0000  0.2178
P  0.1246  0.5000  0.7178
P  0.7595  0.0000  0.7083
P  0.7595  0.5000  0.2083
S  0.3234  0.0000  0.3393
S  0.3234  0.5000  0.8393
S  0.9610  0.0000  0.5102
S  0.9610  0.5000  0.0102

This record from the Alexandria database describes an optimized crystal structure of CaPS3. The functional is PBE-GGA.

Values from the calculation:
DOS(E_F) in states/eV/cell: 0.0
Raw formation energy in kJ/mol of formula units: -511
ΔE to the lowest computed polymorph in meV per atom: 0
Total energy in eV per atom: -5.018
Space group: P2_1/c (14)

abc: 7.3552 6.6196 11.1782
angles: 55.94 90.00 90.00
Atoms (fractional coordinates):
Ca  0.6195  0.7142  0.2476
Ca  0.1195  0.2858  0.2524
Ca  0.3805  0.2858  0.7524
Ca  0.8805  0.7142  0.7476
P  0.6087  0.3648  0.0662
P  0.1087  0.6352  0.4338
P  0.3913  0.6352  0.9338
P  0.8913  0.3648  0.5662
S  0.6938  0.5794  0.5680
S  0.1938  0.4206  0.9320
S  0.3062  0.4206  0.4320
S  0.8062  0.5794  0.0680
S  0.0065  0.1166  0.7595
S  0.5065  0.8834  0.7405
S  0.9935  0.8834  0.2405
S  0.4935  0.1166  0.2595
S  0.8062  0.2263  0.4528
S  0.3062  0.7737  0.0472
S  0.1938  0.7737  0.5472
S  0.6938  0.2263  0.9528

This record from the Alexandria database describes an optimized crystal structure of CaPS. The functional is PBE-GGA.

Values from the calculation:
Raw formation energy in kJ/mol of formula units: -316
Total energy in eV per atom: -4.937
Space group: P1 (1)

abc: 5.2953 5.4322 5.5530
angles: 78.85 74.28 61.92
Atoms (fractional coordinates):
Ca  0.4578  0.2979  0.2411
Ca  0.1013  0.8734  0.7157
P  0.7952  0.6215  0.5099
P  0.7374  0.6720  0.1289
S  0.5790  0.3504  0.6958
S  0.2593  0.9134  0.1681

This record from the Alexandria database describes an optimized crystal structure of CaPS. The functional is PBE-GGA.

Values from the calculation:
Raw formation energy in kJ/mol of formula units: -307
Total energy in eV per atom: -4.908
Space group: P1 (1)

abc: 4.2449 5.4899 6.8585
angles: 92.30 107.59 112.35
Atoms (fractional coordinates):
Ca  0.0023  0.7976  0.6384
Ca  0.5012  0.1847  0.1982
P  0.3555  0.3464  0.5682
P  0.3471  0.4962  0.8619
S  0.2081  0.5928  0.3346
S  0.7393  0.9238  0.9391

This record from the Alexandria database describes an optimized crystal structure of CaPS. The functional is PBE-GGA.

Values from the calculation:
Raw formation energy in kJ/mol of formula units: -317
Total energy in eV per atom: -4.941
Space group: Cm (8)

abc: 4.2818 11.5054 6.8430
angles: 90.00 123.79 90.00
Atoms (fractional coordinates):
Ca  0.9865  0.6668  0.0140
Ca  0.9865  0.3332  0.0140
Ca  0.9865  0.1668  0.5140
Ca  0.9865  0.8332  0.5140
P  0.5112  0.0000  0.5619
P  0.5112  0.5000  0.0619
P  0.7582  0.0000  0.9380
P  0.7582  0.5000  0.4380
S  0.5133  0.1572  0.0061
S  0.5133  0.8428  0.0061
S  0.5133  0.6572  0.5061
S  0.5133  0.3428  0.5061

This record from the Alexandria database describes an optimized crystal structure of CaPS. The functional is PBE-GGA.

Values from the calculation:
Raw formation energy in kJ/mol of formula units: -337
Total energy in eV per atom: -5.010
Space group: P1 (1)

abc: 3.6922 4.0398 9.2140
angles: 101.29 90.11 90.02
Atoms (fractional coordinates):
Ca  0.6012  0.5082  0.1817
Ca  0.0809  0.7917  0.7935
P  0.0990  0.0661  0.4760
P  0.5992  0.7292  0.5056
S  0.1010  0.0288  0.2327
S  0.5802  0.3355  0.8805

This record from the Alexandria database describes an optimized crystal structure of CaPS. The functional is PBE-GGA.

Values from the calculation:
DOS(E_F) in states/eV/cell: 0.5
Raw formation energy in kJ/mol of formula units: -305
Total energy in eV per atom: -4.900
Space group: Cm (8)

abc: 8.5616 3.5860 9.7947
angles: 90.00 111.68 90.00
Atoms (fractional coordinates):
Ca  0.1811  0.0000  0.5164
Ca  0.1811  0.5000  0.0164
Ca  0.8187  0.0000  0.6161
Ca  0.8187  0.5000  0.1161
P  0.4659  0.0000  0.3803
P  0.4659  0.5000  0.8803
P  0.4948  0.0000  0.0399
P  0.4948  0.5000  0.5399
S  0.2051  0.0000  0.2432
S  0.2051  0.5000  0.7432
S  0.9044  0.0000  0.9328
S  0.9044  0.5000  0.4328

This record from the Alexandria database describes an optimized crystal structure of Ca2P2S. The functional is PBE-GGA.

Values from the calculation:
DOS(E_F) in states/eV/cell: 6.1
Raw formation energy in kJ/mol of formula units: -480
Total energy in eV per atom: -4.786
Space group: P4/mbm (127)

abc: 7.4919 7.4919 4.2250
angles: 90.00 90.00 90.00
Atoms (fractional coordinates):
P  0.0989  0.5989  0.5000
P  0.5989  0.9011  0.5000
P  0.9011  0.4011  0.5000
P  0.4011  0.0989  0.5000
Ca  0.3102  0.8102  0.0000
Ca  0.8102  0.6898  0.0000
Ca  0.6898  0.1898  0.0000
Ca  0.1898  0.3102  0.0000
S  0.0000  0.0000  0.0000
S  0.5000  0.5000  0.0000

This record from the Alexandria database describes an optimized crystal structure of CaP2S6. The functional is PBE-GGA.

Values from the calculation:
DOS(E_F) in states/eV/cell: 0.0
Raw formation energy in kJ/mol of formula units: -488
Total energy in eV per atom: -4.738
Space group: C2/c (15)

abc: 5.9984 8.6899 8.6899
angles: 90.07 80.35 80.35
Atoms (fractional coordinates):
Ca  0.2500  0.1328  0.8672
Ca  0.7500  0.8672  0.1328
P  0.2512  0.6333  0.7899
P  0.2488  0.2101  0.3667
P  0.7488  0.3667  0.2101
P  0.7512  0.7899  0.6333
S  0.4519  0.7110  0.5834
S  0.0481  0.4166  0.2890
S  0.5481  0.2890  0.4166
S  0.9519  0.5834  0.7110
S  0.9020  0.8456  0.4259
S  0.5980  0.5741  0.1544
S  0.0980  0.1544  0.5741
S  0.4020  0.4259  0.8456
S  0.1999  0.8020  0.9600
S  0.3001  0.0400  0.1980
S  0.8001  0.1980  0.0400
S  0.6999  0.9600  0.8020

This record from the Alexandria database describes an optimized crystal structure of CaSbPS2. The functional is PBE-GGA.

Values from the calculation:
DOS(E_F) in states/eV/cell: 4.9
Raw formation energy in kJ/mol of formula units: 236
ΔE to the lowest computed polymorph in meV per atom: 661
Total energy in eV per atom: -3.469
Space group: P4/mmm (123)

abc: 5.1008 5.1008 5.2282
angles: 90.00 90.00 90.00
Atoms (fractional coordinates):
Sb  0.5000  0.5000  0.5000
Ca  0.0000  0.0000  0.0000
S  0.0000  0.5000  0.0000
S  0.5000  0.0000  0.0000
P  0.0000  0.0000  0.5000

This record from the Alexandria database describes an optimized crystal structure of CaSbPS2. The functional is PBE-GGA.

Values from the calculation:
DOS(E_F) in states/eV/cell: 2.8
Raw formation energy in kJ/mol of formula units: -83
ΔE to the lowest computed polymorph in meV per atom: 0
Total energy in eV per atom: -4.130
Space group: P4/mmm (123)

abc: 5.0429 5.0429 5.0536
angles: 90.00 90.00 90.00
Atoms (fractional coordinates):
Sb  0.0000  0.0000  0.0000
Ca  0.5000  0.5000  0.5000
S  0.0000  0.5000  0.0000
S  0.5000  0.0000  0.0000
P  0.0000  0.0000  0.5000

This record from the Alexandria database describes an optimized crystal structure of CaSbP2S. The functional is PBE-GGA.

Values from the calculation:
DOS(E_F) in states/eV/cell: 6.5
Raw formation energy in kJ/mol of formula units: 387
ΔE to the lowest computed polymorph in meV per atom: 653
Total energy in eV per atom: -3.411
Space group: P4/mmm (123)

abc: 5.2075 5.2075 5.0225
angles: 90.00 90.00 90.00
Atoms (fractional coordinates):
Sb  0.5000  0.5000  0.5000
Ca  0.0000  0.0000  0.0000
S  0.0000  0.0000  0.5000
P  0.0000  0.5000  0.0000
P  0.5000  0.0000  0.0000

This record from the Alexandria database describes an optimized crystal structure of CaSbP2S. The functional is PBE-GGA.

Values from the calculation:
DOS(E_F) in states/eV/cell: 4.1
Raw formation energy in kJ/mol of formula units: 73
ΔE to the lowest computed polymorph in meV per atom: 0
Total energy in eV per atom: -4.064
Space group: P4/mmm (123)

abc: 5.0391 5.0391 5.1208
angles: 90.00 90.00 90.00
Atoms (fractional coordinates):
Sb  0.0000  0.0000  0.0000
Ca  0.5000  0.5000  0.5000
S  0.0000  0.0000  0.5000
P  0.0000  0.5000  0.0000
P  0.5000  0.0000  0.0000